[1]
The following is a PBE calculation of a relaxed structure of PmThNb, from OQMD via LeMat-Bulk.

E: -0.250 Ha/atom
DFT formation energy: 59 kJ/mol of atoms

abc: 5.026 5.026 5.026
angles: 60.00 60.00 60.00
Fractional positions:
1 Nb 0.000 0.000 0.000
2 Pm 0.250 0.250 0.250
3 Th 0.750 0.750 0.750

=====

[2]
The following is a PBE calculation of a relaxed structure of GdY2Cd3Ag3, from OQMD via LeMat-Bulk.

E: -0.130 Ha/atom
DFT formation energy: -34 kJ/mol of atoms

abc: 3.923 7.864 7.864
angles: 119.97 90.00 90.00
Fractional positions:
1 Cd 0.500 0.262 0.262
2 Y 0.000 0.000 0.404
3 Y 0.000 0.404 0.000
4 Cd 0.500 0.737 0.001
5 Ag 0.000 0.000 0.000
6 Ag 0.500 0.667 0.333
7 Cd 0.500 0.001 0.737
8 Ag 0.500 0.333 0.667
9 Gd 0.000 0.596 0.596